[1]
ZnSnPb2I: optimized geometry, PBEsol.

Lattice parameters (Å, degrees): 5.795 5.912 5.912 90.00 90.00 90.00
Fractional coordinates of all 5 atoms:
Pb  0.000  0.000  0.500
Pb  0.000  0.500  0.000
I  0.000  0.000  0.000
Zn  0.500  0.500  0.500
Sn  0.500  0.000  0.000

- DFT total energy: -10.9 eV per formula unit
- DOS(E_F): 0.957 states/eV per atom
- Formation energy from raw total energies: 945 meV per atom

---

[2]
SrPb3I: optimized geometry, PBEsol.

Lattice parameters (Å, degrees): 6.141 6.141 6.141 90.00 90.00 90.00
Fractional coordinates of all 5 atoms:
Pb  0.000  0.500  0.000
Pb  0.000  0.000  0.500
Pb  0.500  0.000  0.000
I  0.500  0.500  0.500
Sr  0.000  0.000  0.000

- DFT total energy: -12.0 eV per formula unit
- DOS(E_F): 1.523 states/eV per atom
- Formation energy from raw total energies: 730 meV per atom

---

[3]
SrTl2PbI: optimized geometry, PBEsol.

Lattice parameters (Å, degrees): 5.862 5.862 6.189 90.00 90.00 90.00
Fractional coordinates of all 5 atoms:
Pb  0.000  0.000  0.000
I  0.000  0.000  0.500
Tl  0.000  0.500  0.000
Tl  0.500  0.000  0.000
Sr  0.500  0.500  0.500

- DFT total energy: -12.7 eV per formula unit
- DOS(E_F): 0.762 states/eV per atom
- Formation energy from raw total energies: 43 meV per atom

---

[4]
TaPb2I: optimized geometry, PBEsol.

Lattice parameters (Å, degrees): 5.265 5.265 5.265 60.00 60.00 60.00
Fractional coordinates of all 4 atoms:
Pb  0.250  0.250  0.250
Pb  0.750  0.750  0.750
I  0.000  0.000  0.000
Ta  0.500  0.500  0.500

- DFT total energy: -18.3 eV per formula unit
- DOS(E_F): 1.198 states/eV per atom
- Formation energy from raw total energies: 1009 meV per atom

---

[5]
TcPb3I: optimized geometry, PBEsol.

Lattice parameters (Å, degrees): 5.795 5.795 5.795 90.00 90.00 90.00
Fractional coordinates of all 5 atoms:
Pb  0.000  0.500  0.000
Pb  0.000  0.000  0.500
Pb  0.500  0.000  0.000
I  0.000  0.000  0.000
Tc  0.500  0.500  0.500

- DFT total energy: -16.5 eV per formula unit
- DOS(E_F): 1.106 states/eV per atom
- Formation energy from raw total energies: 1705 meV per atom

---

[6]
ZrTcPbI2: optimized geometry, PBEsol.

Lattice parameters (Å, degrees): 5.240 5.871 5.871 90.00 90.00 90.00
Fractional coordinates of all 5 atoms:
Pb  0.000  0.000  0.000
I  0.000  0.000  0.500
I  0.000  0.500  0.000
Tc  0.500  0.000  0.000
Zr  0.500  0.500  0.500

- DFT total energy: -19.3 eV per formula unit
- DOS(E_F): 2.373 states/eV per atom
- Formation energy from raw total energies: 1725 meV per atom

---

[7]
ZnTePbI2: optimized geometry, PBEsol.

Lattice parameters (Å, degrees): 5.356 5.356 5.518 90.00 90.00 90.00
Fractional coordinates of all 5 atoms:
Pb  0.500  0.500  0.500
I  0.000  0.500  0.000
I  0.500  0.000  0.000
Zn  0.000  0.000  0.000
Te  0.000  0.000  0.500

- DFT total energy: -12.9 eV per formula unit
- DOS(E_F): 0.317 states/eV per atom
- Formation energy from raw total energies: -56 meV per atom

---

[8]
Ti3PbI: optimized geometry, PBEsol.

Lattice parameters (Å, degrees): 4.939 4.939 4.939 90.00 90.00 90.00
Fractional coordinates of all 5 atoms:
Pb  0.500  0.500  0.500
I  0.000  0.000  0.000
Ti  0.000  0.500  0.000
Ti  0.000  0.000  0.500
Ti  0.500  0.000  0.000

- DFT total energy: -26.5 eV per formula unit
- DOS(E_F): 1.591 states/eV per atom
- Formation energy from raw total energies: 838 meV per atom

---

What is the formation energy from raw total energies in the first record?
945 meV per atom